Computed, not measured: crystalline Nb2B2Ir at its relaxed geometry at the PBE level of DFT.

total DFT energy (no corrections)	-91.4	eV/cell
formation energy	-15.3	kcal/mol of atoms

Unit cell a=5.757 b=5.757 c=3.686 alpha=90.00 beta=90.00 gamma=90.00
Fractional positions:
Nb1 0.175 0.325 0.000
Nb2 0.325 0.825 0.000
Nb3 0.675 0.175 0.000
Nb4 0.825 0.675 0.000
B1 0.115 0.615 0.500
B2 0.385 0.115 0.500
B3 0.615 0.885 0.500
B4 0.885 0.385 0.500
Ir1 0.000 0.000 0.500
Ir2 0.500 0.500 0.500